Entry 1:
DFT (GGA-PBE) results for YBeBr2 after structural relaxation.

## Properties
crystal system	orthorhombic
ΔE_f (raw)	-0.689	eV per atom

Cell lengths 3.7489, 14.1342, 4.7492 Å; angles 90.00, 90.00, 90.00 degrees
Closest atoms and distances in Å follow each position.
Space group Imm2 (No. 44)
Unique sites:
Y 0.0000 0.0000 0.0000 [2 per cell]  4 Be 2.89-3.17, 4 Br 2.89
Be 0.0000 0.5000 0.9623 [2 per cell]  2 Br 2.33
Br 0.0000 0.3676 0.2562 [4 per cell]  1 Be 2.33


Entry 2:
DFT (GGA-PBE) results for YBeBr2 after structural relaxation.

## Properties
crystal system	tetragonal
ΔE_f (raw)	0.002	eV per atom

Cell lengths 6.1274, 6.1274, 11.1720 Å; angles 90.00, 90.00, 90.00 degrees
Closest atoms and distances in Å follow each position.
Space group I-42d (No. 122)
Unique sites:
Y 0.0000 0.0000 0.0000 [4 per cell]  4 Br 2.94
Be 0.0000 0.0000 0.5000 [4 per cell]  4 Br 2.29
Br 0.1594 0.2500 0.6250 [8 per cell]  2 Be 2.29


Entry 3:
DFT (GGA-PBE) results for YBeBr2 after structural relaxation.

## Properties
crystal system	cubic
ΔE_f (raw)	0.019	eV per atom

Cell lengths 7.2875, 7.2875, 7.2875 Å; angles 90.00, 90.00, 90.00 degrees
Closest atoms and distances in Å follow each position.
Space group F-43m (No. 216)
Unique sites:
Y 0.0000 0.0000 0.0000 [4 per cell]  4 Br 3.16, 4 Be 3.16
Be 0.2500 0.2500 0.7500 [4 per cell]  4 Br 3.16, 4 Y 3.16
Br 0.0000 0.0000 0.5000 [4 per cell]  4 Br 3.16, 4 Be 3.16
Br 0.2500 0.2500 0.2500 [4 per cell]  4 Br 3.16, 4 Y 3.16